[1]
This record from Alexandria via LeMat-Bulk describes crystalline NaIn2Ag9 at its relaxed geometry. The functional is PBE.

Lattice parameters (Å, degrees): 5.5981 5.5981 27.8458 90.00 90.00 120.00
Space group R-3m (No. 166, hexagonal axes)
One atom of each set of equivalent atoms:
Na  0.0000  0.0000  0.0000 x3
In  0.0000  0.0000  0.1422 x6
Ag  0.0000  0.0000  0.3334 x6
Ag  0.0000  0.0000  0.5000 x3
Ag  0.0033  0.5017  0.9151 x18

[2]
This record from Alexandria via LeMat-Bulk describes crystalline NaIn4Ag at its relaxed geometry. The functional is PBE.

Lattice parameters (Å, degrees): 14.600 7.567 5.957 90.00 107.15 90.00
Space group C2/m (No. 12)
One atom of each set of equivalent atoms:
Na  0.214  0.000  0.139 x4
In  0.000  0.203  0.000 x4
In  0.117  0.198  0.554 x8
In  0.169  0.500  0.258 x4
Ag  0.061  0.500  0.760 x4

Results
The calculation puts the energy above the most stable polymorph in this dataset at 0.00 kJ/mol of atoms.

[3]
This record from Alexandria via LeMat-Bulk describes crystalline NaIn2Ag3 at its relaxed geometry. The functional is PBE.

Lattice parameters (Å, degrees): 14.207 4.786 10.029 90.00 127.48 90.00
Space group C2/m (No. 12)
One atom of each set of equivalent atoms:
Na  0.155  0.000  0.028 x4
In  0.081  0.500  0.191 x4
In  0.166  0.000  0.694 x4
Ag  0.059  0.500  0.685 x4
Ag  0.060  0.000  0.337 x4
Ag  0.206  0.500  0.562 x4

[4]
This record from Alexandria via LeMat-Bulk describes crystalline NaIn2Ag at its relaxed geometry. The functional is PBE.

Lattice parameters (Å, degrees): 4.437 4.437 20.990 90.00 90.00 90.00
Space group I-42d (No. 122)
One atom of each set of equivalent atoms:
Na  0.000  0.000  0.000 x4
In  0.238  0.250  0.625 x8
Ag  0.000  0.000  0.500 x4

[5]
This record from Alexandria via LeMat-Bulk describes crystalline Na16In12Ag at its relaxed geometry. The functional is PBE.

Lattice parameters (Å, degrees): 11.733 16.551 10.078 90.00 124.36 90.00
Space group Cm (No. 8)
One atom of each set of equivalent atoms:
Na  0.000  0.000  0.000 x2
Na  0.003  0.000  0.357 x2
Na  0.069  0.348  0.413 x4
Na  0.122  0.500  0.665 x2
Na  0.154  0.159  0.592 x4
Na  0.180  0.177  0.000 x4
Na  0.193  0.500  0.289 x2
Na  0.299  0.294  0.320 x4
Na  0.452  0.128  0.987 x4
Na  0.484  0.195  0.697 x4
In  0.006  0.190  0.188 x4
In  0.186  0.000  0.813 x2
In  0.235  0.408  0.016 x4
In  0.276  0.094  0.371 x4
In  0.318  0.315  0.821 x4
In  0.368  0.000  0.185 x2
In  0.409  0.407  0.637 x4
Ag  0.327  0.000  0.649 x2

[6]
This record from Alexandria via LeMat-Bulk describes crystalline Na2In2Ag15 at its relaxed geometry. The functional is PBE.

Lattice parameters (Å, degrees): 9.7904 9.7904 14.2223 90.00 90.00 120.00
Space group R-3m (No. 166, hexagonal axes)
One atom of each set of equivalent atoms:
Na  0.0000  0.0000  0.1444 x6
In  0.0000  0.0000  0.3951 x6
Ag  0.0000  0.3184  0.5000 x18
Ag  0.0000  0.5000  0.0000 x9
Ag  0.0034  0.5017  0.6592 x18

[7]
This record from Alexandria via LeMat-Bulk describes crystalline NaIn6Ag10 at its relaxed geometry. The functional is PBE.

Lattice parameters (Å, degrees): 8.4422 8.4422 5.7431 90.00 90.00 120.00
Space group P-31m (No. 162)
One atom of each set of equivalent atoms:
Na  0.0000  0.0000  0.0000 x1
In  0.0000  0.3498  0.8152 x6
Ag  0.0000  0.3127  0.3273 x6
Ag  0.3333  0.6667  0.0000 x2
Ag  0.3333  0.6667  0.5000 x2

[8]
This record from Alexandria via LeMat-Bulk describes crystalline NaIn2Ag at its relaxed geometry. The functional is PBE.

Lattice parameters (Å, degrees): 3.3821 3.3821 29.6030 90.00 90.00 120.00
Space group R3m (No. 160, hexagonal axes)
One atom of each set of equivalent atoms:
Na  0.0000  0.0000  0.0000 x3
In  0.0000  0.0000  0.5757 x3
In  0.0000  0.0000  0.7571 x3
Ag  0.0000  0.0000  0.1664 x3

[9]
This record from Alexandria via LeMat-Bulk describes crystalline Na8InAg2 at its relaxed geometry. The functional is PBE.

Lattice parameters (Å, degrees): 5.420 7.108 9.452 111.20 106.27 90.36
Space group P1 (No. 1)
One atom of each set of equivalent atoms:
Na  0.000  0.000  0.000 x1
Na  0.025  0.541  0.050 x1
Na  0.208  0.046  0.395 x1
Na  0.367  0.880  0.732 x1
Na  0.393  0.386  0.785 x1
Na  0.596  0.274  0.188 x1
Na  0.701  0.778  0.388 x1
Na  0.804  0.492  0.605 x1
In  0.200  0.501  0.392 x1
Ag  0.527  0.804  0.059 x1
Ag  0.858  0.132  0.716 x1

Results
The calculation puts the energy above the most stable polymorph in this dataset at 0.00 kJ/mol of atoms.

[10]
This record from Alexandria via LeMat-Bulk describes crystalline Na2InAg2 at its relaxed geometry. The functional is PBE.

Lattice parameters (Å, degrees): 4.864 5.815 8.770 90.00 90.00 90.00
Space group Immm (No. 71)
One atom of each set of equivalent atoms:
Na  0.000  0.000  0.192 x4
In  0.000  0.500  0.000 x2
Ag  0.000  0.259  0.500 x4

Results
The calculation puts the energy above the most stable polymorph in this dataset at 0.00 kJ/mol of atoms.

[11]
This record from Alexandria via LeMat-Bulk describes crystalline Na5InAg at its relaxed geometry. The functional is PBE.

Lattice parameters (Å, degrees): 12.154 11.957 5.770 90.00 106.28 90.00
Space group C2/c (No. 15)
One atom of each set of equivalent atoms:
Na  0.000  0.229  0.250 x4
Na  0.138  0.310  0.832 x8
Na  0.249  0.073  0.588 x8
In  0.000  0.059  0.750 x4
Ag  0.000  0.500  0.000 x4

Results
The calculation puts the energy above the most stable polymorph in this dataset at 0.00 kJ/mol of atoms.

[12]
This record from Alexandria via LeMat-Bulk describes crystalline NaIn4Ag at its relaxed geometry. The functional is PBE.

Lattice parameters (Å, degrees): 8.669 8.669 8.669 90.00 90.00 90.00
Space group F-43m (No. 216)
One atom of each set of equivalent atoms:
Na  0.000  0.000  0.000 x4
In  0.125  0.125  0.625 x16
Ag  0.250  0.250  0.250 x4

Results
The calculation puts the energy above the most stable polymorph in this dataset at 11.98 kJ/mol of atoms.

Density across the listed records, respectively: 8.065; 6.233; 7.074; 5.796; 3.810; 7.990; 8.388; 6.124; 2.640; 5.041; 2.786; 6.017 g/cm3.
E_tot across the listed records, respectively: -2.69; -2.55; -2.62; -2.34; -2.07; -2.67; -2.70; -2.44; -1.74; -2.27; -1.77; -2.42 eV/atom.